No. 1
A relaxed structure of Sr3PbSe4. Source: Alexandria, functional PBE.

POSCAR file:
```
Sr3PbSe4
1.0
6.217 0.000 0.000
0.000 10.594 0.000
0.000 0.000 9.164
Sr Pb Se
6 2 8
Direct
0.250 0.000 0.168
0.250 0.250 0.661
0.250 0.500 0.168
0.750 0.000 0.832
0.750 0.500 0.832
0.750 0.750 0.339
0.250 0.750 0.669
0.750 0.250 0.331
0.250 0.001 0.833
0.250 0.250 0.330
0.250 0.499 0.833
0.250 0.750 0.338
0.750 0.250 0.662
0.750 0.501 0.167
0.750 0.750 0.670
0.750 0.999 0.167
```

Results
For the density of states at the Fermi level, the calculation gives 0.000 states/eV per atom.

=====

No. 2
A relaxed structure of SrPb3Se4. Source: Alexandria, functional PBE.

POSCAR file:
```
SrPb3Se4
1.0
4.413 -6.239 0.000
4.413 6.239 0.000
0.000 0.000 4.409
Sr Pb Se
1 3 4
Direct
0.000 0.000 0.000
0.000 0.500 0.500
0.500 0.000 0.500
0.500 0.500 0.000
0.250 0.250 0.500
0.250 0.750 0.000
0.750 0.250 0.000
0.750 0.750 0.500
```

=====

No. 3
A relaxed structure of SrPbSe. Source: Alexandria, functional PBE.

POSCAR file:
```
SrPbSe
1.0
-2.100 2.100 6.234
2.100 -2.100 6.234
2.100 2.100 -6.234
Sr Pb Se
1 1 1
Direct
0.000 0.000 0.000
0.319 0.319 0.000
0.551 0.551 0.000
```

Results
For the density of states at the Fermi level, the calculation gives 0.586 states/eV per atom.

=====

No. 4
A relaxed structure of SrPb2Se2. Source: Alexandria, functional PBE.

POSCAR file:
```
SrPb2Se2
1.0
8.173 0.000 0.000
0.000 8.173 0.000
0.000 0.000 4.586
Sr Pb Se
2 4 4
Direct
0.000 0.000 0.000
0.500 0.500 0.000
0.169 0.331 0.500
0.331 0.831 0.500
0.669 0.169 0.500
0.831 0.669 0.500
0.163 0.663 0.000
0.337 0.163 0.000
0.663 0.837 0.000
0.837 0.337 0.000
```

Results
For the density of states at the Fermi level, the calculation gives 0.124 states/eV per atom.

=====

No. 5
A relaxed structure of Sr2TbPbSe4. Source: Alexandria, functional PBE.

POSCAR file:
```
Sr2TbPbSe4
1.0
7.501 0.000 0.000
0.000 4.330 0.000
-2.509 0.000 7.138
Sr Tb Pb Se
2 1 1 4
Direct
0.000 0.000 0.000
0.000 0.500 0.500
0.500 0.000 0.500
0.500 0.500 0.000
0.260 0.000 0.742
0.266 0.500 0.264
0.734 0.500 0.736
0.740 0.000 0.258
```

Results
For the density of states at the Fermi level, the calculation gives 0.394 states/eV per atom.

=====

No. 6
A relaxed structure of SrTb4PbSe8. Source: Alexandria, functional PBE.

POSCAR file:
```
SrTb4PbSe8
1.0
4.291 2.477 7.183
-4.291 2.477 7.183
0.000 -4.954 7.183
Sr Tb Pb Se
1 4 1 8
Direct
0.000 0.000 0.000
0.371 0.371 0.878
0.371 0.878 0.371
0.750 0.750 0.750
0.878 0.371 0.371
0.368 0.368 0.368
0.128 0.128 0.585
0.128 0.585 0.128
0.137 0.137 0.137
0.141 0.626 0.626
0.585 0.128 0.128
0.616 0.616 0.616
0.626 0.141 0.626
0.626 0.626 0.141
```

Results
For the density of states at the Fermi level, the calculation gives 0.000 states/eV per atom.

=====

No. 7
A relaxed structure of Sr2TcPbSe. Source: Alexandria, functional PBE.

POSCAR file:
```
Sr2TcPbSe
1.0
5.624 0.000 0.000
0.000 5.624 0.000
0.000 0.000 5.183
Sr Tc Pb Se
2 1 1 1
Direct
0.000 0.500 0.000
0.500 0.000 0.000
0.000 0.000 0.000
0.000 0.000 0.500
0.500 0.500 0.500
```

Results
For the density of states at the Fermi level, the calculation gives 0.546 states/eV per atom.

=====

No. 8
A relaxed structure of SrTePbSe. Source: Alexandria, functional PBE.

POSCAR file:
```
SrTePbSe
1.0
4.577 0.000 0.000
0.000 6.419 0.000
0.000 0.000 4.701
Sr Te Pb Se
1 1 1 1
Direct
0.000 0.000 0.000
0.500 0.000 0.498
0.500 0.500 0.430
0.000 0.500 0.020
```

=====

No. 9
A relaxed structure of Sr2TlPbSe5. Source: Alexandria, functional PBE.

POSCAR file:
```
Sr2TlPbSe5
1.0
2.146 -9.597 0.000
2.146 9.597 0.000
0.000 0.000 12.791
Sr Tl Pb Se
4 2 2 10
Direct
0.109 0.891 0.500
0.126 0.874 0.136
0.874 0.126 0.636
0.891 0.109 0.000
0.440 0.560 0.274
0.560 0.440 0.774
0.224 0.776 0.848
0.776 0.224 0.348
0.049 0.951 0.900
0.275 0.725 0.509
0.304 0.696 0.180
0.368 0.632 0.822
0.497 0.503 0.590
0.503 0.497 0.090
0.632 0.368 0.322
0.696 0.304 0.680
0.725 0.275 0.009
0.951 0.049 0.400
```

Results
For the density of states at the Fermi level, the calculation gives 0.410 states/eV per atom.

=====

No. 10
A relaxed structure of SrTlPb2Se4. Source: Alexandria, functional PBE.

POSCAR file:
```
SrTlPb2Se4
1.0
7.622 0.000 0.000
0.000 4.394 0.000
-2.568 0.000 7.206
Sr Tl Pb Se
1 1 2 4
Direct
0.000 0.000 0.000
0.500 0.500 0.000
0.000 0.500 0.500
0.500 0.000 0.500
0.246 0.000 0.744
0.247 0.500 0.253
0.753 0.500 0.747
0.754 0.000 0.256
```

Results
For the density of states at the Fermi level, the calculation gives 0.502 states/eV per atom.

=====

No. 11
A relaxed structure of Sr2TlPbSe4. Source: Alexandria, functional PBE.

POSCAR file:
```
Sr2TlPbSe4
1.0
7.675 0.000 0.000
0.000 4.427 0.000
-2.562 0.000 7.245
Sr Tl Pb Se
2 1 1 4
Direct
0.000 0.000 0.000
0.500 0.500 0.000
0.000 0.500 0.500
0.500 0.000 0.500
0.251 0.500 0.248
0.252 0.000 0.752
0.748 0.000 0.248
0.749 0.500 0.752
```

Results
For the density of states at the Fermi level, the calculation gives 0.599 states/eV per atom.

=====

No. 12
A relaxed structure of Sr2TmPbSe4. Source: Alexandria, functional PBE.

POSCAR file:
```
Sr2TmPbSe4
1.0
7.461 0.000 0.000
0.000 4.313 0.000
-2.502 0.000 7.113
Sr Tm Pb Se
2 1 1 4
Direct
0.000 0.000 0.000
0.000 0.500 0.500
0.500 0.000 0.500
0.500 0.500 0.000
0.263 0.000 0.739
0.270 0.500 0.269
0.730 0.500 0.731
0.737 0.000 0.261
```

Results
For the density of states at the Fermi level, the calculation gives 0.406 states/eV per atom.

=====

No. 13
A relaxed structure of Sr2UPbSe6. Source: Alexandria, functional PBE.

POSCAR file:
```
Sr2UPbSe6
1.0
7.239 0.000 0.000
0.000 7.943 0.000
-7.035 0.000 10.615
Sr U Pb Se
4 2 2 12
Direct
0.208 0.096 0.246
0.208 0.404 0.746
0.792 0.596 0.254
0.792 0.904 0.754
0.500 0.000 0.000
0.500 0.500 0.500
0.000 0.000 0.500
0.000 0.500 0.000
0.134 0.174 0.939
0.134 0.326 0.439
0.268 0.706 0.927
0.268 0.794 0.427
0.401 0.046 0.764
0.401 0.454 0.264
0.599 0.546 0.736
0.599 0.954 0.236
0.732 0.206 0.573
0.732 0.294 0.073
0.866 0.674 0.561
0.866 0.826 0.061
```

Results
For the density of states at the Fermi level, the calculation gives 0.022 states/eV per atom.

=====

No. 14
A relaxed structure of TaPbSe2. Source: Alexandria, functional PBE.

POSCAR file:
```
TaPbSe2
1.0
3.591 0.000 0.000
0.000 4.318 0.000
0.000 0.000 5.775
Ta Pb Se
1 1 2
Direct
0.000 0.000 0.000
0.500 0.000 0.500
0.000 0.500 0.500
0.500 0.500 0.000
```

Results
For the density of states at the Fermi level, the calculation gives 0.770 states/eV per atom.

=====

No. 15
A relaxed structure of TaPbSe2. Source: Alexandria, functional PBE.

POSCAR file:
```
TaPbSe2
1.0
3.243 0.000 0.000
0.000 3.236 0.000
-0.103 0.000 8.884
Ta Pb Se
1 1 2
Direct
0.000 0.000 0.000
0.500 0.000 0.500
0.494 0.500 0.828
0.506 0.500 0.172
```

Results
For the density of states at the Fermi level, the calculation gives 0.633 states/eV per atom.

=====

No. 16
A relaxed structure of TaPbSe3. Source: Alexandria, functional PBE.

POSCAR file:
```
TaPbSe3
1.0
5.077 0.000 0.000
0.000 5.077 0.000
0.000 0.000 5.077
Ta Pb Se
1 1 3
Direct
0.000 0.000 0.000
0.500 0.500 0.500
0.000 0.000 0.500
0.000 0.500 0.000
0.500 0.000 0.000
```

Results
For the density of states at the Fermi level, the calculation gives 0.499 states/eV per atom.

=====

No. 17
A relaxed structure of TaPb4Se. Source: Alexandria, functional PBE.

POSCAR file:
```
TaPb4Se
1.0
0.000 4.416 4.416
4.416 0.000 4.416
4.416 4.416 0.000
Ta Pb Se
1 4 1
Direct
0.000 0.000 0.000
0.123 0.626 0.626
0.626 0.123 0.626
0.626 0.626 0.123
0.626 0.626 0.626
0.250 0.250 0.250
```

Results
For the density of states at the Fermi level, the calculation gives 0.804 states/eV per atom.

=====

No. 18
A relaxed structure of TaPbSe3. Source: Alexandria, functional PBE.

POSCAR file:
```
TaPbSe3
1.0
5.297 0.000 0.000
0.000 5.297 0.000
0.000 0.000 5.297
Ta Pb Se
1 1 3
Direct
0.000 0.000 0.000
0.500 0.500 0.500
0.000 0.500 0.500
0.500 0.000 0.500
0.500 0.500 0.000
```

Results
For the density of states at the Fermi level, the calculation gives 0.676 states/eV per atom.

=====

No. 19
A relaxed structure of TaPbSe2. Source: Alexandria, functional PBE.

POSCAR file:
```
TaPbSe2
1.0
-1.697 3.018 5.077
1.697 -3.018 5.077
1.697 3.018 -5.077
Ta Pb Se
1 1 2
Direct
0.000 0.000 0.000
0.500 0.500 0.000
0.187 0.687 0.500
0.813 0.313 0.500
```

Results
For the density of states at the Fermi level, the calculation gives 0.699 states/eV per atom.

=====

No. 20
A relaxed structure of TaPbSe2. Source: Alexandria, functional PBE.

POSCAR file:
```
TaPbSe2
1.0
3.456 0.000 0.000
0.000 6.191 0.000
-1.709 -1.233 9.535
Ta Pb Se
2 2 4
Direct
0.000 0.000 0.000
0.498 0.412 0.996
0.245 0.709 0.497
0.745 0.211 0.498
0.077 0.659 0.155
0.421 0.753 0.841
0.592 0.156 0.186
0.906 0.256 0.810
```

Results
For the density of states at the Fermi level, the calculation gives 0.471 states/eV per atom.

=====

No. 21
A relaxed structure of TaPbSe2. Source: Alexandria, functional PBE.

POSCAR file:
```
TaPbSe2
1.0
3.566 -3.576 0.000
3.566 3.576 0.000
-0.019 0.000 3.351
Ta Pb Se
1 1 2
Direct
0.000 0.000 0.000
0.500 0.500 0.000
0.000 0.500 0.500
0.500 0.000 0.500
```

Results
For the density of states at the Fermi level, the calculation gives 0.902 states/eV per atom.

=====

No. 22
A relaxed structure of Ta3PbSe. Source: Alexandria, functional PBE.

POSCAR file:
```
Ta3PbSe
1.0
4.782 0.000 0.000
0.000 4.782 0.000
0.000 0.000 4.782
Ta Pb Se
3 1 1
Direct
0.000 0.000 0.500
0.000 0.500 0.000
0.500 0.000 0.000
0.500 0.500 0.500
0.000 0.000 0.000
```

Results
For the density of states at the Fermi level, the calculation gives 1.250 states/eV per atom.

=====

No. 23
A relaxed structure of TaPbSe2. Source: Alexandria, functional PBE.

POSCAR file:
```
TaPbSe2
1.0
4.503 -1.701 0.000
4.503 1.701 0.000
-2.348 0.000 6.488
Ta Pb Se
1 1 2
Direct
0.000 0.000 0.000
0.350 0.350 0.587
0.532 0.532 0.293
0.690 0.690 0.925
```

Results
For the density of states at the Fermi level, the calculation gives 0.561 states/eV per atom.

=====

No. 24
A relaxed structure of TaPbSe2. Source: Alexandria, functional PBE.

POSCAR file:
```
TaPbSe2
1.0
3.483 0.000 0.000
-1.742 3.017 0.000
0.000 0.000 9.476
Ta Pb Se
1 1 2
Direct
0.000 0.000 0.000
0.667 0.333 0.500
0.667 0.333 0.175
0.667 0.333 0.825
```

Results
For the density of states at the Fermi level, the calculation gives 0.636 states/eV per atom.

=====

No. 25
A relaxed structure of TaPbSe2. Source: Alexandria, functional PBE.

POSCAR file:
```
TaPbSe2
1.0
3.281 0.000 0.000
0.000 3.281 0.000
0.000 0.000 8.780
Ta Pb Se
1 1 2
Direct
0.000 0.000 0.000
0.500 0.500 0.265
0.000 0.000 0.515
0.500 0.500 0.858
```

Results
For the density of states at the Fermi level, the calculation gives 0.907 states/eV per atom.

=====

| no. | uncorrected formation energy (eV/atom) | total energy (eV per atom) |
| --- | --- | --- |
| 1 | -1.5865 | -4.42 |
| 2 | -0.9373 | -4.28 |
| 3 | -0.8985 | -3.86 |
| 4 | -0.7139 | -3.93 |
| 5 | -1.5571 | -4.76 |
| 6 | -1.6345 | -5.33 |
| 7 | -0.0035 | -4.19 |
| 8 | -1.1558 | -4.16 |
| 9 | -1.0227 | -4.01 |
| 10 | -0.8364 | -4.01 |
| 11 | -1.1737 | -4.10 |
| 12 | -1.5274 | -4.71 |
| 13 | -1.2960 | -5.22 |
| 14 | 0.4086 | -5.22 |
| 15 | -0.3852 | -6.02 |
| 16 | -0.3143 | -5.52 |
| 17 | 0.8457 | -4.18 |
| 18 | 1.2385 | -3.96 |
| 19 | -0.1581 | -5.79 |
| 20 | -0.5884 | -6.22 |
| 21 | 0.2625 | -5.37 |
| 22 | 0.9441 | -7.61 |
| 23 | -0.3341 | -5.97 |
| 24 | -0.6617 | -6.29 |
| 25 | 0.0456 | -5.59 |